Material: Pm3As2S
Method: DFT, PBE-GGA
State: relaxed

Values from the calculation:
SG: No. 15
Formation energy from raw total energies, kJ/mol of formula units: -1004
Crystal system: monoclinic
Mass density, g cm⁻³: 6.629
V, A^3/atom: 25.75

extended XYZ file:
```
12
Lattice="7.222 0.205 0.353 -1.396 7.097 -0.267 -1.396 -3.750 6.031" Properties=species:S:1:pos:R:3 pbc="T T T"
Pm -0.695 -0.060 1.972
Pm 2.916 1.845 1.102
Pm -0.698 3.548 -0.133
Pm 5.125 3.612 4.146
Pm 2.913 -1.772 3.192
Pm 1.514 1.707 5.016
As 0.410 6.245 0.346
As 0.410 -0.994 4.549
As 4.021 -2.693 5.772
As 4.021 4.546 1.569
S 0.410 2.639 2.440
S 4.021 0.913 3.678
```


Material: Pm2AsS
Method: DFT, PBE-GGA
State: relaxed

Values from the calculation:
SG: No. 160
Formation energy from raw total energies, kJ/mol of formula units: -653
Crystal system: trigonal
Mass density, g cm⁻³: 6.424
V, A^3/atom: 25.65

extended XYZ file:
```
4
Lattice="-3.531 -0.409 1.976 -2.681 -2.817 -1.189 0.957 -5.826 4.690" Properties=species:S:1:pos:R:3 pbc="T T T"
Pm 0.230 -4.685 3.627
Pm -1.346 -2.212 1.321
As -3.194 -7.961 5.200
S -2.614 -4.547 2.758
```


Material: Pm4As2S
Method: DFT, PBE-GGA
State: relaxed

Values from the calculation:
SG: No. 122
Formation energy from raw total energies, kJ/mol of formula units: -929
Crystal system: tetragonal
Mass density, g cm⁻³: 7.286
V, A^3/atom: 24.81

extended XYZ file:
```
14
Lattice="1.111 -6.519 -3.886 4.474 0.142 6.229 -7.381 0.355 2.056" Properties=species:S:1:pos:R:3 pbc="T T T"
Pm -4.512 -4.612 0.476
Pm -1.644 -6.091 1.571
Pm 0.303 -3.781 3.219
Pm -0.875 -0.641 2.617
Pm -0.663 -3.148 -0.687
Pm 4.020 -4.016 2.295
Pm -5.093 -1.295 2.315
Pm 1.279 -0.502 5.789
As -1.187 -2.057 5.485
As -2.414 -2.946 1.664
As -2.177 -5.506 -1.544
As 2.185 -1.535 3.193
S 1.225 -4.729 0.714
S 0.000 0.000 0.000
```


Material: Pm3As2S2
Method: DFT, PBE-GGA
State: relaxed

Values from the calculation:
SG: No. 12
Formation energy from raw total energies, kJ/mol of formula units: -987
Crystal system: monoclinic
Mass density, g cm⁻³: 5.179
V, A^3/atom: 29.73

extended XYZ file:
```
7
Lattice="-2.614 0.646 3.194 3.643 -5.031 3.999 3.471 7.142 -1.335" Properties=species:S:1:pos:R:3 pbc="T T T"
Pm 1.821 -2.515 1.999
Pm 4.026 0.375 3.219
Pm 0.474 2.381 2.639
As 2.120 -1.500 4.771
As 2.380 4.257 1.087
S 2.716 2.473 4.456
S 1.784 0.284 1.402
```


Material: Pm6As2S3
Method: DFT, PBE-GGA
State: relaxed

Values from the calculation:
SG: No. 162
Formation energy from raw total energies, kJ/mol of formula units: -1691
Crystal system: trigonal
Mass density, g cm⁻³: 6.398
V, A^3/atom: 26.33

extended XYZ file:
```
11
Lattice="6.938 0.000 0.000 0.000 6.013 -3.472 0.000 0.000 6.943" Properties=species:S:1:pos:R:3 pbc="T T T"
Pm 5.214 1.991 1.149
Pm 5.214 0.000 4.645
Pm 5.214 4.022 4.621
Pm 1.724 4.022 2.322
Pm 1.724 6.013 -1.173
Pm 1.724 1.991 -1.149
As 3.469 2.004 3.472
As 3.469 4.009 0.000
S 0.000 4.009 0.000
S 6.938 2.004 3.472
S 3.469 0.000 0.000
```


Material: Pm8As3S4
Method: DFT, PBE-GGA
State: relaxed

Values from the calculation:
SG: No. 12
Formation energy from raw total energies, kJ/mol of formula units: -2452
Crystal system: monoclinic
Mass density, g cm⁻³: 6.385
V, A^3/atom: 26.23

extended XYZ file:
```
15
Lattice="7.198 -0.175 -3.961 -4.651 6.788 -0.204 -0.172 0.141 8.228" Properties=species:S:1:pos:R:3 pbc="T T T"
Pm 2.362 1.608 0.013
Pm -3.552 5.157 1.865
Pm 6.005 1.508 -2.001
Pm 0.064 5.045 -0.085
Pm 2.311 1.709 4.147
Pm -3.630 5.246 6.064
Pm -1.271 1.772 6.159
Pm 0.013 5.146 4.050
As 1.274 3.307 -2.083
As 3.513 -0.017 2.133
As 1.188 3.377 2.031
S 3.599 -0.087 -1.981
S -2.325 3.394 -0.102
S 0.000 0.000 0.000
S -0.086 0.071 4.114
```


> Which of these has the highest formation energy from raw total energies?

Pm2AsS